No. 1
# Tb2Tm3Pu PBE relaxed
# D(E_F)	1.637	states/eV per atom
# total energy	-6.060	eV/atom
# DFT formation energy	0.6	eV per formula unit
data_Tb2Tm3Pu
_symmetry_space_group_name_H-M 'I m m a'
_symmetry_Int_Tables_number 74
_symmetry_space_group_name_Hall '-I 2b 2'
_cell_length_a 5.7787
_cell_length_b 13.4567
_cell_length_c 9.3839
_cell_angle_alpha 90.00
_cell_angle_beta 90.00
_cell_angle_gamma 90.00
loop_
_atom_site_label
_atom_site_type_symbol
_atom_site_fract_x
_atom_site_fract_y
_atom_site_fract_z
Tb1 Tb 0.0000 0.1180 0.0287
Tm1 Tm 0.0000 0.0212 0.6669
Tm2 Tm 0.0000 0.2500 0.3655
Pu1 Pu 0.2500 0.2500 0.7500

***

No. 2
# Tb4Tm6Pu PBE relaxed
# D(E_F)	1.945	states/eV per atom
# total energy	-5.263	eV/atom
# DFT formation energy	1.8	eV per formula unit
data_Tb4Tm6Pu
_symmetry_space_group_name_H-M 'C m c m'
_symmetry_Int_Tables_number 63
_symmetry_space_group_name_Hall '-C 2c 2'
_cell_length_a 3.4931
_cell_length_b 22.9986
_cell_length_c 17.1178
_cell_angle_alpha 90.00
_cell_angle_beta 90.00
_cell_angle_gamma 90.00
loop_
_atom_site_label
_atom_site_type_symbol
_atom_site_fract_x
_atom_site_fract_y
_atom_site_fract_z
Tb1 Tb 0.0000 0.1194 0.1399
Tb2 Tb 0.0000 0.3699 0.0527
Tm1 Tm 0.0000 0.0000 0.0000
Tm2 Tm 0.0000 0.2554 0.2500
Tm3 Tm 0.0000 0.2589 0.5827
Tm4 Tm 0.0000 0.4913 0.1601
Pu1 Pu 0.0000 0.1202 0.7500

***

No. 3
# Tb2TmPu PBE relaxed
# relative energy among the computed polymorphs	0.0971	eV/atom
# D(E_F)	2.641	states/eV per atom
# total energy	-6.824	eV/atom
# DFT formation energy	0.8	eV per formula unit
data_Tb2TmPu
_symmetry_space_group_name_H-M 'F m -3 m'
_symmetry_Int_Tables_number 225
_symmetry_space_group_name_Hall '-F 4 2 3'
_cell_length_a 7.8719
_cell_length_b 7.8719
_cell_length_c 7.8719
_cell_angle_alpha 90.00
_cell_angle_beta 90.00
_cell_angle_gamma 90.00
loop_
_atom_site_label
_atom_site_type_symbol
_atom_site_fract_x
_atom_site_fract_y
_atom_site_fract_z
Tb1 Tb 0.2500 0.2500 0.2500
Tm1 Tm 0.0000 0.0000 0.0000
Pu1 Pu 0.0000 0.0000 0.5000

***

No. 4
# Tb2TmPu PBE relaxed
# relative energy among the computed polymorphs	0.1613	eV/atom
# D(E_F)	2.980	states/eV per atom
# total energy	-6.760	eV/atom
# DFT formation energy	1.0	eV per formula unit
data_Tb2TmPu
_symmetry_space_group_name_H-M 'R -3 m'
_symmetry_Int_Tables_number 166
_symmetry_space_group_name_Hall '-R 3 2"'
_cell_length_a 3.4336
_cell_length_b 3.4336
_cell_length_c 36.5145
_cell_angle_alpha 90.00
_cell_angle_beta 90.00
_cell_angle_gamma 120.00
loop_
_atom_site_label
_atom_site_type_symbol
_atom_site_fract_x
_atom_site_fract_y
_atom_site_fract_z
Tb1 Tb 0.0000 0.0000 0.0891
Tm1 Tm 0.0000 0.0000 0.5000
Pu1 Pu 0.0000 0.0000 0.0000

***

So what do the calculations give for total moment? Going down the list: 21.92 24.39 29.42 19.31 Bohr magnetons per cell.